Material: LiMnRe
Method: DFT, GGA-PBE
State: optimized geometry

Calculated values
As for the formation energy: 0.9 eV per formula unit.

Lattice parameters (Å, degrees): 6.995 6.807 2.626 83.09 75.03 21.89
Positions (direct):
Li: 0.999 0.999 0.001
Mn: 0.326 0.326 0.674
Re: 0.676 0.676 0.324

=====

Material: Sr2NdPbO6
Method: DFT, GGA-PBE
State: optimized geometry

Calculated values
The uncorrected formation energy comes out at -2.181 eV/atom.

Lattice parameters (Å, degrees): 6.067 6.232 8.627 90.00 90.63 90.00
Positions (direct):
Sr: 0.018 0.951 0.250
Sr: 0.518 0.549 0.750
Sr: 0.982 0.049 0.750
Sr: 0.482 0.451 0.250
Nd: 0.500 0.000 0.000
Nd: 0.000 0.500 0.500
Pb: 0.500 0.000 0.500
Pb: 0.000 0.500 0.000
O: 0.286 0.700 0.059
O: 0.786 0.800 0.559
O: 0.714 0.300 0.941
O: 0.214 0.200 0.441
O: 0.304 0.716 0.437
O: 0.804 0.784 0.937
O: 0.696 0.284 0.563
O: 0.196 0.216 0.063
O: 0.885 0.552 0.241
O: 0.385 0.948 0.741
O: 0.115 0.448 0.759
O: 0.615 0.052 0.259

=====

Material: Pr2Ga6Ir
Method: DFT, GGA-PBE
State: optimized geometry

Calculated values
As for the formation energy: -5.8 eV per formula unit.

Lattice parameters (Å, degrees): 6.320 6.320 6.320 60.00 60.00 60.00
Positions (direct):
Pr: 0.250 0.250 0.250
Pr: 0.750 0.750 0.750
Ga: 0.284 0.716 0.716
Ga: 0.284 0.716 0.284
Ga: 0.716 0.284 0.716
Ga: 0.716 0.284 0.284
Ga: 0.716 0.716 0.284
Ga: 0.284 0.284 0.716
Ir: 0.000 0.000 0.000

=====

no.,E_tot (eV per atom)
1,-7.5419
2,-6.3403
3,-4.7084